A plane-wave DFT calculation with GGA-PBE was carried out for a relaxed structure of TbYI6.

Cell and atoms, written as CIF:
```
data_TbYI6
_cell_length_a 7.6442
_cell_length_b 7.6442
_cell_length_c 20.6792
_cell_angle_alpha 90.00
_cell_angle_beta 90.00
_cell_angle_gamma 120.00
_space_group_name_H-M_alt 'R -3'
_space_group_IT_number 148
_space_group_name_Hall '-R 3'
loop_
_atom_site_label
_atom_site_type_symbol
_atom_site_fract_x
_atom_site_fract_y
_atom_site_fract_z
_atom_site_occupancy
Tb1 Tb 0.0000 0.0000 0.0000 1
Y1 Y 0.0000 0.0000 0.5000 1
I1 I 0.0005 0.3411 0.2499 1
```

Summary:
Magnetic moment (Bohr magnetons per cell): 0.00
Total DFT energy (no corrections) (eV for the cell shown): -93.2
E_form (uncorrected) (kJ per mole of atoms): -128.7